This record from Alexandria describes a geometry-optimized CaCu structure. The functional is PBE-GGA.

- space-group type = Cm, No. 8
- DFT formation energy (eV per atom) = -0.0513

Unit cell a=5.6901 b=5.6901 c=7.4965 alpha=110.55 beta=110.55 gamma=41.63
Closest atoms and distances in Å follow each position.
Atoms (fractional coordinates):
Ca  0.0000  0.0000  0.0000  6 Cu 2.88-3.08
Ca  0.6335  0.6335  0.6965  7 Cu 2.94-3.11
Ca  0.8235  0.8235  0.3500  7 Cu 3.02-3.25
Cu  0.1337  0.1337  0.4123  1 Cu 2.44
Cu  0.2906  0.2906  0.0036  1 Cu 2.54
Cu  0.3418  0.3418  0.6986  2 Cu 2.44-2.54

This record from Alexandria describes a geometry-optimized CaCu structure. The functional is PBE-GGA.

- space-group type = Fm-3m, No. 225
- DFT formation energy (eV per atom) = 0.1069

Unit cell a=4.1929 b=4.1929 c=4.1929 alpha=60.00 beta=60.00 gamma=60.00
Closest atoms and distances in Å follow each position.
Atoms (fractional coordinates):
Ca  0.0000  0.0000  0.0000  6 Cu 2.96
Cu  0.5000  0.5000  0.5000  6 Ca 2.96

This record from Alexandria describes a geometry-optimized CaCu structure. The functional is PBE-GGA.

- space-group type = P-6m2, No. 187
- DFT formation energy (eV per atom) = 0.1076

Unit cell a=3.9616 b=3.9616 c=3.8034 alpha=90.00 beta=90.00 gamma=120.00
Closest atoms and distances in Å follow each position.
Atoms (fractional coordinates):
Ca  0.0000  0.0000  0.0000  6 Cu 2.97
Cu  0.6667  0.3333  0.5000  6 Ca 2.97

This record from Alexandria describes a geometry-optimized CaCu structure. The functional is PBE-GGA.

- space-group type = P4/nmm, No. 129
- DFT formation energy (eV per atom) = 0.0089

Unit cell a=3.4767 b=3.4767 c=7.8273 alpha=90.00 beta=90.00 gamma=90.00
Closest atoms and distances in Å follow each position.
Atoms (fractional coordinates):
Ca  0.2500  0.2500  0.1996  5 Cu 2.84-3.09
Ca  0.7500  0.7500  0.8004  5 Cu 2.84-3.09
Cu  0.2500  0.2500  0.5621  4 Cu 2.64, 1 Ca 2.84
Cu  0.7500  0.7500  0.4379  4 Cu 2.64, 1 Ca 2.84

no.,raw total energy (Ha/atom)
1,-0.1139
2,-0.1081
3,-0.1081
4,-0.1117